Record 1
LiTb2Cd6, optimized geometry, DFT PBE-GGA; E_form = -0.260 eV per atom; mass density = 7.7 g cm⁻³
1.0
-1.904 2.672 0.473
3.523 1.137 7.809
7.070 4.891 0.880
Tb Cd Li
2 6 1
Direct
0.000 0.333 0.333 Tb
0.000 0.667 0.667 Tb
0.499 0.000 0.671 Cd
0.501 0.000 0.329 Cd
0.500 0.329 0.671 Cd
0.499 0.671 0.000 Cd
0.501 0.329 0.000 Cd
0.500 0.671 0.329 Cd
0.000 0.000 0.000 Li

***

Record 2
PuCoGeH2, optimized geometry, DFT PBE-GGA; total energy = -6.95 eV/atom; mass density = 11.0 g cm⁻³
1.0
-1.650 -2.233 2.730
3.260 -3.079 -3.326
4.340 0.934 3.388
Co Pu H Ge
2 2 4 2
Direct
0.000 0.000 0.000 Co
0.000 0.000 0.500 Co
0.289 0.578 0.250 Pu
0.711 0.422 0.750 Pu
0.848 0.697 0.063 H
0.152 0.303 0.937 H
0.152 0.303 0.563 H
0.848 0.697 0.437 H
0.430 0.860 0.750 Ge
0.570 0.140 0.250 Ge

***

Record 3
Rb2MnCdCl6, optimized geometry, DFT PBE-GGA; ΔE_f (raw) = -1.18 eV per atom; mass density = 2.3 g cm⁻³
1.0
-1.951 1.887 7.258
-0.981 -5.552 5.316
14.007 -0.254 7.967
Cl Rb Mn Cd
12 4 2 2
Direct
0.827 0.827 0.088 Cl
0.259 0.827 0.088 Cl
0.782 0.311 0.596 Cl
0.741 0.173 0.912 Cl
0.311 0.782 0.596 Cl
0.689 0.689 0.404 Cl
0.311 0.311 0.596 Cl
0.218 0.689 0.404 Cl
0.827 0.259 0.088 Cl
0.173 0.173 0.912 Cl
0.173 0.741 0.912 Cl
0.689 0.218 0.404 Cl
0.082 0.082 0.755 Rb
0.401 0.401 0.798 Rb
0.918 0.918 0.245 Rb
0.599 0.599 0.202 Rb
0.000 0.000 0.000 Mn
0.500 0.500 0.500 Mn
0.161 0.161 0.517 Cd
0.839 0.839 0.483 Cd

***

Record 4
CaMgSe2, optimized geometry, DFT PBE-GGA; ΔE_f (raw) = -0.49 eV per atom; mass density = 3.9 g cm⁻³
1.0
-0.761 -0.145 -5.036
-3.476 -3.168 -1.961
-4.311 1.858 -1.979
Se Ca Mg
2 1 1
Direct
0.250 0.250 0.250 Se
0.000 0.000 0.000 Se
0.500 0.500 0.500 Ca
0.750 0.750 0.750 Mg

***

mass density of number 3 (Rb2MnCdCl6)? 2.3 g cm⁻³